No. 1
# TbPrDy2Se6

A geometry-optimized TbPrDy2Se6 structure (PBE, the Alexandria database).

The space group is R3 (No. 146, hexagonal axes) and the conventional cell measures 7.3046, 7.3046 and 19.5501 Å, with angles of 90.00, 90.00 and 120.00 degrees. The inequivalent atoms are Tb at (0.0000, 0.0000, 0.0000), Pr at (0.0000, 0.0000, 0.5054), Dy at (0.0000, 0.0000, 0.3053), Dy at (0.0000, 0.0000, 0.8019), Se at (0.0050, 0.3095, 0.3997) and Se at (0.0214, 0.7132, 0.9002).

For the uncorrected formation energy, the calculation gives -1.847 eV per atom. Its total energy is -174.0 eV for the cell shown. The density comes out at 6.058 g/cm³.

No. 2
# Tb2PrDy3Se6

A geometry-optimized Tb2PrDy3Se6 structure (PBE, the Alexandria database).

The space group is C2/m (No. 12) and the conventional cell measures 7.093, 12.350 and 7.147 Å, with angles of 90.00, 109.39 and 90.00 degrees. The inequivalent atoms are Tb at (0.000, 0.165, 0.000), Pr at (0.000, 0.500, 0.000), Dy at (0.000, 0.000, 0.500), Dy at (0.000, 0.340, 0.500), Se at (0.242, 0.000, 0.254) and Se at (0.242, 0.172, 0.742).

For the uncorrected formation energy, the calculation gives -1.774 eV per atom. Its total energy is -140.1 eV for the cell shown. The density comes out at 7.985 g/cm³.